Record 1
DFT (PBE-GGA) results for crystalline ErHgPd2 at its relaxed geometry.

Geometry as POSCAR:
```
ErHgPd2
1.0
3.870 0.000 0.000
0.000 4.456 0.000
0.000 0.000 4.456
Pd Er Hg
2 1 1
Direct
0.000 0.500 0.000
0.000 0.000 0.500
0.500 0.000 0.000
0.500 0.500 0.500
```

Formation enthalpy at 0 K in eV per atom: -0.64
SG: P4/mmm

Record 2
DFT (PBE-GGA) results for crystalline PmErHgPd at its relaxed geometry.

Geometry as POSCAR:
```
PmErHgPd
1.0
-1.708 -0.395 3.096
-1.970 -2.602 -1.419
5.200 -5.144 2.212
Hg Er Pd Pm
1 1 1 1
Direct
0.000 0.000 0.840
0.500 0.500 0.581
0.000 0.000 0.380
0.500 0.500 0.127
```

Formation enthalpy at 0 K in eV per atom: -0.67
SG: P4mm

Record 3
DFT (PBE-GGA) results for crystalline PmErHgPd at its relaxed geometry.

Geometry as POSCAR:
```
PmErHgPd
1.0
5.160 0.000 0.000
2.580 4.468 0.000
2.580 1.489 4.213
Pm Hg Er Pd
1 1 1 1
Direct
0.250 0.250 0.250
0.500 0.500 0.500
0.750 0.750 0.750
0.000 0.000 0.000
```

Formation enthalpy at 0 K in eV per atom: -0.62
SG: F-43m

Record 4
DFT (PBE-GGA) results for crystalline PrErHgPd at its relaxed geometry.

Geometry as POSCAR:
```
PrErHgPd
1.0
-1.474 -4.985 -0.178
1.659 -3.066 -3.859
3.450 -3.768 0.973
Pr Hg Er Pd
1 1 1 1
Direct
0.750 0.750 0.750
0.500 0.500 0.500
0.250 0.250 0.250
0.000 0.000 0.000
```

Formation enthalpy at 0 K in eV per atom: -0.59
SG: F-43m

Record 5
DFT (PBE-GGA) results for crystalline ErHgPdPt at its relaxed geometry.

Geometry as POSCAR:
```
ErHgPdPt
1.0
-0.408 -3.525 -3.199
3.187 -0.396 -3.537
3.137 -3.604 0.004
Pt Hg Pd Er
1 1 1 1
Direct
0.000 0.000 0.000
0.750 0.750 0.750
0.500 0.500 0.500
0.250 0.250 0.250
```

Formation enthalpy at 0 K in eV per atom: -0.75
SG: F-43m

Record 6
DFT (PBE-GGA) results for crystalline Er4HgPd2Rh at its relaxed geometry.

Geometry as POSCAR:
```
Er4HgPd2Rh
1.0
-1.281 3.185 -3.600
-4.799 0.720 -1.091
-2.359 7.293 3.856
Er Rh Hg Pd
4 1 1 2
Direct
0.382 0.382 0.855
0.870 0.870 0.391
0.618 0.618 0.145
0.130 0.130 0.609
0.500 0.500 0.500
0.000 0.000 0.000
0.251 0.251 0.247
0.749 0.749 0.753
```

Formation enthalpy at 0 K in eV per atom: -0.81
SG: R-3m

Computed E_tot, in the same sequence as the records: -17.8 -17.5 -17.3 -17.2 -19.1 -42.7 eV/f.u..